A plane-wave DFT calculation with GGA-PBEsol was carried out for a geometry-optimized GaNi2 structure.

```
data_GaNi2
_space_group_name_H-M_alt 'P -3 m 1'
_space_group_IT_number 164
_space_group_name_Hall '-P 3 2"'
_cell_length_a 3.9808
_cell_length_b 3.9808
_cell_length_c 4.9361
_cell_angle_alpha 90.00
_cell_angle_beta 90.00
_cell_angle_gamma 120.00
loop_
_atom_site_label
_atom_site_type_symbol
_atom_site_fract_x
_atom_site_fract_y
_atom_site_fract_z
_atom_site_occupancy
Ga1 Ga 0.3333 0.6667 0.2078 1
Ni1 Ni 0.0000 0.0000 0.0000 1
Ni2 Ni 0.0000 0.0000 0.5000 1
Ni3 Ni 0.3333 0.6667 0.7026 1
```

Values from the calculation:
The value obtained for the calculated volume is 11.29 Å³/atom. The total energy comes out at -5.59 eV/atom.